1.
First-principles (GGA-PBE) data for a relaxed structure of YScSb2, as listed in Alexandria via LeMat-Bulk.

abc: 6.0621 4.2871 4.2879
angles: 89.99 90.00 90.00
With the nearest neighbours (Å) after each atom.
Positions (direct):
Sb (0.0000, 0.8751, 0.8751)  2 Y 3.03, 4 Sc 3.03
Sb (0.5000, 0.3750, 0.3750)  2 Sc 3.03, 4 Y 3.03
Y (0.5000, 0.8750, 0.8750)  6 Sb 3.03
Sc (0.0000, 0.3749, 0.3750)  6 Sb 3.03

Computed properties:
Formation energy without anion corrections (eV/atom): -1.02
E_tot (eV/atom): -6.28
Excess energy over the best structure of this formula in the dataset (meV/atom): 24.3
DOS at the Fermi energy (states/eV/atom): 0.15

***

2.
First-principles (GGA-PBE) data for a relaxed structure of YScSb2, as listed in Alexandria via LeMat-Bulk.

abc: 5.2608 5.2608 5.2608
angles: 60.00 60.00 60.00
With the nearest neighbours (Å) after each atom.
Positions (direct):
Y (0.5000, 0.5000, 0.5000)  8 Sb 3.22
Sb (0.7500, 0.7500, 0.7500)  4 Sc 3.22, 4 Y 3.22
Sb (0.2500, 0.2500, 0.2500)  4 Sc 3.22, 4 Y 3.22
Sc (0.0000, 0.0000, 0.0000)  8 Sb 3.22

Computed properties:
Formation energy without anion corrections (eV/atom): -0.70
E_tot (eV/atom): -5.96
Excess energy over the best structure of this formula in the dataset (meV/atom): 346.2
DOS at the Fermi energy (states/eV/atom): 0.52

***

3.
First-principles (GGA-PBE) data for a relaxed structure of YScSb2, as listed in Alexandria via LeMat-Bulk.

abc: 5.4274 5.4274 5.4274
angles: 131.14 114.82 85.55
With the nearest neighbours (Å) after each atom.
Positions (direct):
Sc (0.2500, 0.7500, 0.5000)  4 Sb 2.94
Sb (0.4892, 0.4892, 0.0000)  2 Sc 2.94, 2 Y 3.06
Sb (0.0108, 0.0108, 0.0000)  2 Sc 2.94, 2 Y 3.06
Y (0.7500, 0.2500, 0.5000)  4 Sb 3.06

Computed properties:
Formation energy without anion corrections (eV/atom): -0.79
E_tot (eV/atom): -6.05
Excess energy over the best structure of this formula in the dataset (meV/atom): 250.2
DOS at the Fermi energy (states/eV/atom): 0.43

***

4.
First-principles (GGA-PBE) data for a relaxed structure of YSc2Sb3, as listed in Alexandria via LeMat-Bulk.

abc: 9.4694 9.4694 9.4694
angles: 154.04 154.04 37.03
With the nearest neighbours (Å) after each atom.
Positions (direct):
Sc (0.6658, 0.6658, 0.0000)  6 Sb 2.93-3.01
Sc (0.3342, 0.3342, 0.0000)  6 Sb 2.93-3.01
Sb (0.5000, 0.5000, 0.0000)  2 Sc 2.98, 4 Y 3.01
Sb (0.1711, 0.1711, 0.0000)  5 Sc 2.93-3.01, 1 Y 3.07
Sb (0.8289, 0.8289, 0.0000)  5 Sc 2.93-3.01, 1 Y 3.07
Y (0.0000, 0.0000, 0.0000)  6 Sb 3.01-3.07

Computed properties:
Formation energy without anion corrections (eV/atom): -0.99
E_tot (eV/atom): -6.24
DOS at the Fermi energy (states/eV/atom): 0.19

***

5.
First-principles (GGA-PBE) data for a relaxed structure of YSc2Sb, as listed in Alexandria via LeMat-Bulk.

abc: 4.3704 4.3723 10.9385
angles: 101.52 90.00 90.00
With the nearest neighbours (Å) after each atom.
Positions (direct):
Sb (0.2500, 0.1597, 0.3196)  4 Sc 3.09-3.11, 5 Y 3.15-3.17
Sb (0.7500, 0.8403, 0.6804)  4 Sc 3.09-3.11, 5 Y 3.15-3.17
Sc (0.7500, 0.0581, 0.1164)  2 Sb 3.09, 8 Sc 3.09-3.32
Sc (0.7500, 0.4435, 0.8867)  8 Sc 3.09-3.29, 2 Sb 3.11
Sc (0.2500, 0.9419, 0.8836)  2 Sb 3.09, 8 Sc 3.09-3.32
Sc (0.2500, 0.5565, 0.1133)  8 Sc 3.09-3.29, 2 Sb 3.11
Y (0.7500, 0.6929, 0.3861)  5 Sb 3.15-3.17
Y (0.2500, 0.3071, 0.6139)  5 Sb 3.15-3.17

Computed properties:
Formation energy without anion corrections (eV/atom): -0.65
E_tot (eV/atom): -6.46
DOS at the Fermi energy (states/eV/atom): 1.44

***

6.
First-principles (GGA-PBE) data for a relaxed structure of Y3ScSb, as listed in Alexandria via LeMat-Bulk.

abc: 5.4290 5.4290 5.4290
angles: 90.00 90.00 90.00
With the nearest neighbours (Å) after each atom.
Positions (direct):
Y (0.0000, 0.0000, 0.5000)  2 Sc 2.71
Y (0.0000, 0.5000, 0.0000)  2 Sc 2.71
Y (0.5000, 0.0000, 0.0000)  2 Sc 2.71
Sc (0.0000, 0.0000, 0.0000)  6 Y 2.71
Sb (0.5000, 0.5000, 0.5000)  12 Y 3.84

Computed properties:
Formation energy without anion corrections (eV/atom): 0.49
E_tot (eV/atom): -5.47
Excess energy over the best structure of this formula in the dataset (meV/atom): 353.2
DOS at the Fermi energy (states/eV/atom): 0.91

***

7.
First-principles (GGA-PBE) data for a relaxed structure of YSc3Sb2, as listed in Alexandria via LeMat-Bulk.

abc: 4.2549 9.9377 8.8737
angles: 123.45 90.00 102.36
With the nearest neighbours (Å) after each atom.
Positions (direct):
Y (0.8895, 0.7790, 0.9021)  6 Sb 3.14-3.29
Y (0.1105, 0.2210, 0.0979)  6 Sb 3.14-3.29
Sb (0.7530, 0.5060, 0.2246)  7 Sc 3.01-3.16, 2 Y 3.15
Sb (0.5106, 0.0211, 0.1920)  4 Sc 2.87-3.05, 2 Y 3.14, 1 Sb 3.19
Sb (0.2470, 0.4940, 0.7754)  7 Sc 3.01-3.16, 2 Y 3.15
Sb (0.4894, 0.9789, 0.8080)  4 Sc 2.87-3.05, 2 Y 3.14, 1 Sb 3.19
Sc (0.3542, 0.7085, 0.1953)  4 Sb 3.01-3.08, 2 Sc 3.35
Sc (0.3091, 0.6182, 0.5142)  4 Sb 2.96-3.16, 4 Sc 3.03-3.13
Sc (0.0650, 0.1299, 0.4524)  3 Sb 2.87-3.04, 3 Sc 3.08-3.13
Sc (0.6909, 0.3818, 0.4858)  4 Sb 2.96-3.16, 4 Sc 3.03-3.13
Sc (0.9350, 0.8701, 0.5476)  3 Sb 2.87-3.04, 3 Sc 3.08-3.13
Sc (0.6458, 0.2915, 0.8047)  4 Sb 3.01-3.08, 2 Sc 3.35

Computed properties:
Formation energy without anion corrections (eV/atom): -0.68
E_tot (eV/atom): -6.29
DOS at the Fermi energy (states/eV/atom): 0.83

***

8.
First-principles (GGA-PBE) data for a relaxed structure of YScSb2, as listed in Alexandria via LeMat-Bulk.

abc: 3.3393 3.3393 10.2036
angles: 90.00 90.00 90.03
With the nearest neighbours (Å) after each atom.
Positions (direct):
Y (0.5000, 0.5000, 0.7506)  4 Sb 3.26, 4 Y 3.34, 4 Sc 3.58
Sc (0.0000, 0.0000, 0.4871)  4 Sb 3.09, 4 Sc 3.34
Sb (0.5000, 0.5000, 0.2916)  4 Sc 3.09, 4 Sb 3.34
Sb (0.0000, 0.0000, 0.9707)  4 Y 3.26, 4 Sb 3.34

Computed properties:
Formation energy without anion corrections (eV/atom): -0.31
E_tot (eV/atom): -5.57
Excess energy over the best structure of this formula in the dataset (meV/atom): 732.9
DOS at the Fermi energy (states/eV/atom): 0.67

***

9.
First-principles (GGA-PBE) data for a relaxed structure of YScSb2, as listed in Alexandria via LeMat-Bulk.

abc: 7.2777 5.3773 3.7436
angles: 80.61 74.14 125.56
With the nearest neighbours (Å) after each atom.
Positions (direct):
Y (0.5000, 0.5000, 0.0000)  4 Sb 3.01
Sb (0.5000, 0.0000, 0.5000)  2 Sc 3.01, 2 Y 3.01
Sb (0.0000, 0.0000, 0.0000)  2 Y 3.01, 2 Sc 3.01
Sc (0.0000, 0.5000, 0.5000)  4 Sb 3.01

Computed properties:
Formation energy without anion corrections (eV/atom): -0.77
E_tot (eV/atom): -6.03
Excess energy over the best structure of this formula in the dataset (meV/atom): 269.7
DOS at the Fermi energy (states/eV/atom): 0.48

***

10.
First-principles (GGA-PBE) data for a relaxed structure of YScSb2, as listed in Alexandria via LeMat-Bulk.

abc: 5.1222 5.1222 5.1222
angles: 114.47 114.47 99.88
With the nearest neighbours (Å) after each atom.
Positions (direct):
Sc (0.2500, 0.7500, 0.5000)  8 Sb 3.23, 2 Y 3.30
Sb (0.0000, 0.0000, 0.0000)  4 Sc 3.23, 4 Y 3.23, 2 Sb 3.30
Sb (0.5000, 0.5000, 0.0000)  4 Y 3.23, 4 Sc 3.23, 2 Sb 3.30
Y (0.7500, 0.2500, 0.5000)  8 Sb 3.23, 2 Sc 3.30

Computed properties:
Formation energy without anion corrections (eV/atom): -0.74
E_tot (eV/atom): -6.00
Excess energy over the best structure of this formula in the dataset (meV/atom): 303.5
DOS at the Fermi energy (states/eV/atom): 0.75

***

11.
First-principles (GGA-PBE) data for a relaxed structure of Y2ScSb2, as listed in Alexandria via LeMat-Bulk.

abc: 8.4452 8.4452 3.9216
angles: 90.00 90.00 90.00
With the nearest neighbours (Å) after each atom.
Positions (direct):
Sb (0.3338, 0.1662, 0.5000)  6 Y 3.05-3.24
Sb (0.6662, 0.8338, 0.5000)  6 Y 3.05-3.24
Sb (0.1662, 0.6662, 0.5000)  6 Y 3.05-3.24
Sb (0.8338, 0.3338, 0.5000)  6 Y 3.05-3.24
Y (0.3621, 0.8621, 0.0000)  6 Sb 3.05-3.24, 2 Sc 3.27, 1 Y 3.29
Y (0.1379, 0.3621, 0.0000)  6 Sb 3.05-3.24, 2 Sc 3.27, 1 Y 3.29
Y (0.6379, 0.1379, 0.0000)  6 Sb 3.05-3.24, 2 Sc 3.27, 1 Y 3.29
Y (0.8621, 0.6379, 0.0000)  6 Sb 3.05-3.24, 2 Sc 3.27, 1 Y 3.29
Sc (0.5000, 0.5000, 0.0000)  4 Y 3.27
Sc (0.0000, 0.0000, 0.0000)  4 Y 3.27

Computed properties:
Formation energy without anion corrections (eV/atom): -0.52
E_tot (eV/atom): -6.02
Excess energy over the best structure of this formula in the dataset (meV/atom): 418.5
DOS at the Fermi energy (states/eV/atom): 0.59

***

12.
First-principles (GGA-PBE) data for a relaxed structure of YSc2Sb, as listed in Alexandria via LeMat-Bulk.

abc: 3.9609 3.9609 6.4416
angles: 90.00 90.00 90.00
With the nearest neighbours (Å) after each atom.
Positions (direct):
Sb (0.5000, 0.5000, 0.7623)  6 Sc 3.07-3.37, 4 Y 3.25
Y (0.0000, 0.0000, 0.5059)  6 Sc 3.13-3.31, 4 Sb 3.25
Sc (0.5000, 0.5000, 0.2392)  2 Sb 3.07-3.37, 4 Sc 3.22, 4 Y 3.29
Sc (0.0000, 0.0000, 0.9925)  2 Y 3.13-3.31, 4 Sb 3.17, 4 Sc 3.22

Computed properties:
Formation energy without anion corrections (eV/atom): -0.48
E_tot (eV/atom): -6.30
DOS at the Fermi energy (states/eV/atom): 1.10

***

13.
First-principles (GGA-PBE) data for a relaxed structure of Y2ZrScSb, as listed in Alexandria via LeMat-Bulk.

abc: 5.6429 5.3796 5.6429
angles: 90.00 90.00 90.00
With the nearest neighbours (Å) after each atom.
Positions (direct):
Zr (0.0000, 0.5000, 0.0000)  2 Sb 2.69
Sc (0.5000, 0.5000, 0.5000)  8 Y 3.90, 4 Zr 3.99
Sb (0.0000, 0.0000, 0.0000)  2 Zr 2.69, 4 Y 2.82
Y (0.0000, 0.0000, 0.5000)  2 Sb 2.82
Y (0.5000, 0.0000, 0.0000)  2 Sb 2.82

Computed properties:
Formation energy without anion corrections (eV/atom): 0.30
E_tot (eV/atom): -6.09
DOS at the Fermi energy (states/eV/atom): 2.24

***

14.
First-principles (GGA-PBE) data for a relaxed structure of ScZnSb2, as listed in Alexandria via LeMat-Bulk.

abc: 3.3818 3.3818 8.3063
angles: 90.00 90.00 95.88
With the nearest neighbours (Å) after each atom.
Positions (direct):
Sb (0.0000, 0.0000, 0.4930)  4 Sc 3.03-3.22, 4 Zn 3.11-3.30, 4 Sb 3.38
Sb (0.0000, 0.0000, 0.0070)  4 Sc 3.03-3.22, 4 Zn 3.11-3.30, 4 Sb 3.38
Sc (0.5000, 0.5000, 0.2500)  8 Sb 3.03-3.22, 4 Sc 3.38
Zn (0.5000, 0.5000, 0.7500)  8 Sb 3.11-3.30, 4 Zn 3.38

Computed properties:
Formation energy without anion corrections (eV/atom): -0.19
E_tot (eV/atom): -4.15
DOS at the Fermi energy (states/eV/atom): 0.74

***

15.
First-principles (GGA-PBE) data for a relaxed structure of ScZnSb2, as listed in Alexandria via LeMat-Bulk.

abc: 7.6193 7.6193 6.3421
angles: 53.08 53.08 90.00
With the nearest neighbours (Å) after each atom.
Positions (direct):
Zn (0.7500, 0.2500, 0.5000)  4 Sb 2.69
Zn (0.0000, 0.0000, 0.0000)  4 Sb 2.69
Sb (0.0981, 0.6250, 0.2500)  2 Zn 2.69, 2 Sc 2.96
Sb (0.6519, 0.1250, 0.2500)  2 Zn 2.69, 2 Sc 2.96
Sb (0.3750, 0.3481, 0.7500)  2 Zn 2.69, 2 Sc 2.96
Sb (0.8750, 0.9019, 0.7500)  2 Zn 2.69, 2 Sc 2.96
Sc (0.5000, 0.5000, 0.0000)  4 Sb 2.96
Sc (0.2500, 0.7500, 0.5000)  4 Sb 2.96

Computed properties:
Formation energy without anion corrections (eV/atom): -0.23
E_tot (eV/atom): -4.19
DOS at the Fermi energy (states/eV/atom): 0.81

***

16.
First-principles (GGA-PBE) data for a relaxed structure of ScZnSb2, as listed in Alexandria via LeMat-Bulk.

abc: 3.9788 3.9788 5.9770
angles: 90.00 90.00 90.00
With the nearest neighbours (Å) after each atom.
Positions (direct):
Sb (0.0000, 0.0000, 0.9410)  2 Sc 2.91-3.07, 4 Zn 2.97
Sb (0.5000, 0.5000, 0.3201)  1 Zn 2.77, 4 Sc 2.93
Sc (0.0000, 0.0000, 0.4548)  6 Sb 2.91-3.07
Zn (0.5000, 0.5000, 0.7842)  5 Sb 2.77-2.97

Computed properties:
Formation energy without anion corrections (eV/atom): -0.34
E_tot (eV/atom): -4.31
DOS at the Fermi energy (states/eV/atom): 0.67

***

17.
First-principles (GGA-PBE) data for a relaxed structure of ScZn2Sb2, as listed in Alexandria via LeMat-Bulk.

abc: 5.1851 5.1851 5.6529
angles: 62.70 62.70 90.00
With the nearest neighbours (Å) after each atom.
Positions (direct):
Sb (0.7500, 0.2500, 0.5000)  4 Zn 2.76
Sb (0.2500, 0.7500, 0.5000)  4 Zn 2.76
Zn (0.6399, 0.6399, 0.7202)  1 Zn 2.41
Zn (0.3601, 0.3601, 0.2798)  1 Zn 2.41
Sc (0.0000, 0.0000, 0.0000)  2 Zn 3.10, 8 Sb 3.37

Computed properties:
Formation energy without anion corrections (eV/atom): -0.04
E_tot (eV/atom): -3.47
DOS at the Fermi energy (states/eV/atom): 0.70

***

18.
First-principles (GGA-PBE) data for a relaxed structure of Sc2Zn2Sb, as listed in Alexandria via LeMat-Bulk.

abc: 3.6608 3.6608 8.4793
angles: 77.53 77.53 90.00
With the nearest neighbours (Å) after each atom.
Positions (direct):
Zn (0.2500, 0.7500, 0.5000)  4 Zn 2.59
Zn (0.7500, 0.2500, 0.5000)  4 Zn 2.59
Sc (0.3990, 0.3990, 0.2020)  4 Zn 3.02, 4 Sb 3.06, 1 Sc 3.26
Sc (0.6010, 0.6010, 0.7980)  4 Zn 3.02, 4 Sb 3.06, 1 Sc 3.26
Sb (0.0000, 0.0000, 0.0000)  8 Sc 3.06

Computed properties:
Formation energy without anion corrections (eV/atom): -0.28
E_tot (eV/atom): -4.14
Excess energy over the best structure of this formula in the dataset (meV/atom): 156.9
DOS at the Fermi energy (states/eV/atom): 1.18

***

19.
First-principles (GGA-PBE) data for a relaxed structure of ScZnSb2, as listed in Alexandria via LeMat-Bulk.

abc: 3.1839 3.1839 9.6184
angles: 90.00 90.00 90.00
With the nearest neighbours (Å) after each atom.
Positions (direct):
Sc (0.0000, 0.0000, 0.5341)  4 Zn 2.93, 4 Sb 3.18, 4 Sc 3.18
Sb (0.0000, 0.0000, 0.9359)  4 Zn 3.01, 4 Sb 3.18
Sb (0.5000, 0.5000, 0.3012)  4 Sc 3.18, 4 Sb 3.18
Zn (0.5000, 0.5000, 0.7288)  4 Sc 2.93, 4 Sb 3.01, 4 Zn 3.18

Computed properties:
Formation energy without anion corrections (eV/atom): -0.18
E_tot (eV/atom): -4.14
DOS at the Fermi energy (states/eV/atom): 0.52

***

20.
First-principles (GGA-PBE) data for a relaxed structure of ScZn2Sb2, as listed in Alexandria via LeMat-Bulk.

abc: 7.6258 7.6258 3.8527
angles: 90.00 90.00 90.00
With the nearest neighbours (Å) after each atom.
Positions (direct):
Sb (0.1545, 0.3455, 0.0000)  6 Zn 2.88-3.00, 2 Sc 2.89
Sb (0.8455, 0.6545, 0.0000)  6 Zn 2.88-3.00, 2 Sc 2.89
Sb (0.3455, 0.8455, 0.0000)  6 Zn 2.88-3.00, 2 Sc 2.89
Sb (0.6545, 0.1545, 0.0000)  6 Zn 2.88-3.00, 2 Sc 2.89
Zn (0.8536, 0.3536, 0.5000)  6 Sb 2.88-3.00, 1 Zn 3.16
Zn (0.6464, 0.8536, 0.5000)  6 Sb 2.88-3.00, 1 Zn 3.16
Zn (0.1464, 0.6464, 0.5000)  6 Sb 2.88-3.00, 1 Zn 3.16
Zn (0.3536, 0.1464, 0.5000)  6 Sb 2.88-3.00, 1 Zn 3.16
Sc (0.0000, 0.0000, 0.0000)  4 Sb 2.89
Sc (0.5000, 0.5000, 0.0000)  4 Sb 2.89

Computed properties:
Formation energy without anion corrections (eV/atom): -0.09
E_tot (eV/atom): -3.52
DOS at the Fermi energy (states/eV/atom): 0.52